Here is a geometry-optimized CaRuCl2 structure from Alexandria. Energies are from PBE.

abc: 5.568 5.568 5.568
angles: 45.04 45.04 45.04
Positions (direct):
Ca 0.000 0.000 0.000
Ru 0.500 0.500 0.500
Cl 0.238 0.238 0.238
Cl 0.762 0.762 0.762

Values from the calculation:
Its total magnetic moment is 1.994 μB per cell. Its distance to the lowest polymorph of the same formula is 176.0 meV per atom. As for the crystal system: trigonal. Its space group is R-3m. Its uncorrected formation energy is -0.572 eV/atom.